The following is a PBE calculation of an optimized crystal structure of LaNd5Tm2, from Alexandria.

- Density of states at the Fermi level: 21.24 states/eV per cell
- Energy of formation from the pure elements: 12 meV/atom
- Relative energy among the computed polymorphs: 0 meV per atom
- Uncorrected energy: -4.70 eV per atom

a = 7.2821 Å, b = 14.5694 Å, c = 5.1346 Å
α = 90.00°, β = 90.00°, γ = 90.00°
With the nearest neighbours (Å) after each atom.
Element x y z (fractional)
La: 0.0000 0.0000 0.0000  4 Tm 3.64, 8 Nd 3.64-3.66
La: 0.5000 0.5000 0.0000  4 Tm 3.64, 8 Nd 3.64-3.66
Nd: 0.0000 0.5000 0.0000  6 Nd 3.63, 2 La 3.64, 4 Tm 3.64
Nd: 0.0020 0.2509 0.0000  4 Tm 3.62-3.64, 7 Nd 3.63-3.64, 1 La 3.66
Nd: 0.2485 0.6255 0.5000  4 Tm 3.62-3.66, 6 Nd 3.63-3.64, 2 La 3.65
Nd: 0.2515 0.1255 0.5000  4 Tm 3.62-3.66, 6 Nd 3.63-3.64, 2 La 3.65
Nd: 0.4980 0.7509 0.0000  4 Tm 3.62-3.64, 7 Nd 3.63-3.64, 1 La 3.66
Nd: 0.5000 0.0000 0.0000  6 Nd 3.63, 2 La 3.64, 4 Tm 3.64
Nd: 0.5020 0.2491 0.0000  4 Tm 3.62-3.64, 7 Nd 3.63-3.64, 1 La 3.66
Nd: 0.7485 0.8745 0.5000  4 Tm 3.62-3.66, 6 Nd 3.63-3.64, 2 La 3.65
Nd: 0.7515 0.3745 0.5000  4 Tm 3.62-3.66, 6 Nd 3.63-3.64, 2 La 3.65
Nd: 0.9980 0.7491 0.0000  4 Tm 3.62-3.64, 7 Nd 3.63-3.64, 1 La 3.66
Tm: 0.2492 0.8742 0.5000  10 Nd 3.62-3.66, 2 La 3.64
Tm: 0.2508 0.3742 0.5000  10 Nd 3.62-3.66, 2 La 3.64
Tm: 0.7492 0.6258 0.5000  10 Nd 3.62-3.66, 2 La 3.64
Tm: 0.7508 0.1258 0.5000  10 Nd 3.62-3.66, 2 La 3.64



The following is a PBE calculation of an optimized crystal structure of La2Nd6Tm, from Alexandria.

- Density of states at the Fermi level: 29.63 states/eV per cell
- Energy of formation from the pure elements: 20 meV/atom
- Relative energy among the computed polymorphs: 0 meV per atom
- Uncorrected energy: -4.75 eV per atom

a = 11.0226 Å, b = 11.0461 Å, c = 5.2015 Å
α = 90.00°, β = 90.00°, γ = 90.00°
With the nearest neighbours (Å) after each atom.
Element x y z (fractional)
La: 0.1640 0.1641 0.0000  2 Tm 3.65, 10 Nd 3.65-3.71
La: 0.3360 0.6641 0.5000  2 Tm 3.65, 10 Nd 3.65-3.71
La: 0.6640 0.3359 0.5000  2 Tm 3.65, 10 Nd 3.65-3.71
La: 0.8360 0.8359 0.0000  2 Tm 3.65, 10 Nd 3.65-3.71
Nd: 0.0002 0.3324 0.5000  8 Nd 3.67-3.70, 1 Tm 3.67, 3 La 3.67-3.71
Nd: 0.9998 0.6676 0.5000  8 Nd 3.67-3.70, 1 Tm 3.67, 3 La 3.67-3.71
Nd: 0.1675 0.4999 0.0000  1 Tm 3.67, 8 Nd 3.67-3.69, 3 La 3.67-3.71
Nd: 0.1671 0.8329 0.0000  4 La 3.65-3.70, 6 Nd 3.67-3.68, 2 Tm 3.68
Nd: 0.3325 0.9999 0.5000  1 Tm 3.67, 8 Nd 3.67-3.69, 3 La 3.67-3.71
Nd: 0.3329 0.3329 0.5000  4 La 3.65-3.70, 6 Nd 3.67-3.68, 2 Tm 3.68
Nd: 0.5002 0.1676 0.0000  8 Nd 3.67-3.70, 1 Tm 3.67, 3 La 3.67-3.71
Nd: 0.4998 0.8324 0.0000  8 Nd 3.67-3.70, 1 Tm 3.67, 3 La 3.67-3.71
Nd: 0.6675 0.0001 0.5000  1 Tm 3.67, 8 Nd 3.67-3.69, 3 La 3.67-3.71
Nd: 0.6671 0.6671 0.5000  4 La 3.65-3.70, 6 Nd 3.67-3.68, 2 Tm 3.68
Nd: 0.8329 0.1671 0.0000  4 La 3.65-3.70, 6 Nd 3.67-3.68, 2 Tm 3.68
Nd: 0.8325 0.5001 0.0000  1 Tm 3.67, 8 Nd 3.67-3.69, 3 La 3.67-3.71
Tm: 0.0000 0.0000 0.5000  4 La 3.65, 8 Nd 3.67-3.68
Tm: 0.5000 0.5000 0.0000  4 La 3.65, 8 Nd 3.67-3.68



The following is a PBE calculation of an optimized crystal structure of LaNd2Tm8, from Alexandria.

- Density of states at the Fermi level: 17.95 states/eV per cell
- Energy of formation from the pure elements: 145 meV/atom
- Relative energy among the computed polymorphs: 0 meV per atom
- Uncorrected energy: -4.42 eV per atom

a = 10.1223 Å, b = 10.1223 Å, c = 5.4971 Å
α = 92.61°, β = 92.61°, γ = 40.38°
With the nearest neighbours (Å) after each atom.
Element x y z (fractional)
La: 0.0000 0.0000 0.0000  10 Tm 3.51-3.82
Nd: 0.2852 0.2852 0.7526  11 Tm 3.21-3.57
Nd: 0.7148 0.7148 0.2474  11 Tm 3.21-3.57
Tm: 0.1352 0.6004 0.2686  4 Tm 3.25-3.51, 3 Nd 3.45-3.57, 1 La 3.51
Tm: 0.1866 0.1866 0.2343  4 Nd 3.32-3.54, 4 Tm 3.45-3.51, 1 La 3.71
Tm: 0.3996 0.8648 0.7314  4 Tm 3.25-3.51, 3 Nd 3.45-3.57, 1 La 3.51
Tm: 0.4541 0.4541 0.7602  2 Tm 3.09-3.42, 1 Nd 3.21
Tm: 0.5459 0.5459 0.2398  2 Tm 3.09-3.42, 1 Nd 3.21
Tm: 0.6004 0.1352 0.2686  4 Tm 3.25-3.51, 3 Nd 3.45-3.57, 1 La 3.51
Tm: 0.8134 0.8134 0.7657  4 Nd 3.32-3.54, 4 Tm 3.45-3.51, 1 La 3.71
Tm: 0.8648 0.3996 0.7314  4 Tm 3.25-3.51, 3 Nd 3.45-3.57, 1 La 3.51



The following is a PBE calculation of an optimized crystal structure of La5Nd3Tm2, from Alexandria.

- Density of states at the Fermi level: 29.74 states/eV per cell
- Energy of formation from the pure elements: 321 meV/atom
- Uncorrected energy: -4.47 eV per atom

a = 10.1052 Å, b = 10.1052 Å, c = 10.1052 Å
α = 122.95°, β = 93.80°, γ = 112.95°
With the nearest neighbours (Å) after each atom.
Element x y z (fractional)
La: 0.0009 0.7500 0.2509  2 Tm 3.39, 1 Nd 3.44, 3 La 3.47-3.56
La: 0.1106 0.1086 0.2193  1 Tm 2.99, 2 La 3.35
La: 0.2500 0.2500 0.0000  6 La 3.35-3.47
La: 0.3894 0.6086 0.9980  1 Tm 2.99, 2 La 3.35
La: 0.4991 0.7500 0.7491  2 Tm 3.39, 1 Nd 3.44, 3 La 3.47-3.56
La: 0.5009 0.2500 0.2509  2 Tm 3.39, 1 Nd 3.44, 3 La 3.47-3.56
La: 0.6106 0.3914 0.0020  1 Tm 2.99, 2 La 3.35
La: 0.7500 0.7500 0.0000  6 La 3.35-3.47
La: 0.8894 0.8914 0.7807  1 Tm 2.99, 2 La 3.35
La: 0.9991 0.2500 0.7491  2 Tm 3.39, 1 Nd 3.44, 3 La 3.47-3.56
Nd: 0.1288 0.7507 0.8795  1 Tm 3.21, 2 La 3.46-3.57
Nd: 0.2500 0.7500 0.5000  4 Tm 3.35, 2 La 3.44
Nd: 0.3712 0.2507 0.6219  1 Tm 3.21, 2 La 3.46-3.57
Nd: 0.6288 0.7493 0.3781  1 Tm 3.21, 2 La 3.46-3.57
Nd: 0.7500 0.2500 0.5000  4 Tm 3.35, 2 La 3.44
Nd: 0.8712 0.2493 0.1205  1 Tm 3.21, 2 La 3.46-3.57
Tm: 0.1218 0.4182 0.5400  1 La 2.99, 1 Nd 3.21
Tm: 0.3782 0.9182 0.2964  1 La 2.99, 1 Nd 3.21
Tm: 0.6218 0.0818 0.7036  1 La 2.99, 1 Nd 3.21
Tm: 0.8782 0.5818 0.4600  1 La 2.99, 1 Nd 3.21



The following is a PBE calculation of an optimized crystal structure of La4Nd8Tm, from Alexandria.

- Density of states at the Fermi level: 27.86 states/eV per cell
- Energy of formation from the pure elements: 364 meV/atom
- Uncorrected energy: -4.43 eV per atom

a = 7.9169 Å, b = 7.9169 Å, c = 7.9169 Å
α = 97.30°, β = 97.30°, γ = 97.30°
With the nearest neighbours (Å) after each atom.
Element x y z (fractional)
La: 0.0000 0.0000 0.0000  2 Nd 2.83
La: 0.0000 0.5000 0.5000  6 Nd 3.44-3.61
La: 0.5000 0.0000 0.5000  6 Nd 3.44-3.61
La: 0.5000 0.5000 0.0000  6 Nd 3.44-3.61
Nd: 0.1638 0.1638 0.6673  3 La 3.41-3.44, 3 Nd 3.41-3.62
Nd: 0.1638 0.6673 0.1638  3 La 3.41-3.44, 3 Nd 3.41-3.62
Nd: 0.2390 0.2390 0.2390  1 La 2.83, 1 Tm 3.09
Nd: 0.3327 0.8362 0.8362  3 La 3.41-3.44, 3 Nd 3.41-3.62
Nd: 0.6673 0.1638 0.1638  3 La 3.41-3.44, 3 Nd 3.41-3.62
Nd: 0.7610 0.7610 0.7610  1 La 2.83, 1 Tm 3.09
Nd: 0.8362 0.3327 0.8362  3 La 3.41-3.44, 3 Nd 3.41-3.62
Nd: 0.8362 0.8362 0.3327  3 La 3.41-3.44, 3 Nd 3.41-3.62
Tm: 0.5000 0.5000 0.5000  2 Nd 3.09



The following is a PBE calculation of an optimized crystal structure of La10Nd4Tm, from Alexandria.

- Density of states at the Fermi level: 21.56 states/eV per cell
- Energy of formation from the pure elements: 258 meV/atom
- Uncorrected energy: -4.60 eV per atom

a = 8.8590 Å, b = 8.8590 Å, c = 8.8590 Å
α = 110.55°, β = 110.55°, γ = 107.33°
With the nearest neighbours (Å) after each atom.
Element x y z (fractional)
La: 0.0404 0.7266 0.0861  5 La 3.28-3.49
La: 0.0457 0.9596 0.6862  5 La 3.28-3.49
La: 0.2500 0.7500 0.5000  4 Nd 3.21, 4 La 3.38
La: 0.2734 0.3595 0.3138  5 La 3.28-3.49
La: 0.3595 0.0457 0.0861  5 La 3.28-3.49
La: 0.6405 0.9543 0.9139  5 La 3.28-3.49
La: 0.7266 0.6405 0.6862  5 La 3.28-3.49
La: 0.7500 0.2500 0.5000  4 Nd 3.21, 4 La 3.38
La: 0.9543 0.0404 0.3138  5 La 3.28-3.49
La: 0.9596 0.2734 0.9139  5 La 3.28-3.49
Nd: 0.1759 0.5514 0.7272  2 La 3.21, 1 Tm 3.31
Nd: 0.4486 0.1759 0.6245  2 La 3.21, 1 Tm 3.31
Nd: 0.5514 0.8241 0.3755  2 La 3.21, 1 Tm 3.31
Nd: 0.8241 0.4486 0.2728  2 La 3.21, 1 Tm 3.31
Tm: 0.5000 0.5000 0.0000  4 Nd 3.31



The following is a PBE calculation of an optimized crystal structure of LaNd10Tm6, from Alexandria.

- Density of states at the Fermi level: 26.85 states/eV per cell
- Energy of formation from the pure elements: 134 meV/atom
- Uncorrected energy: -4.54 eV per atom

a = 9.8507 Å, b = 9.8507 Å, c = 6.9173 Å
α = 90.00°, β = 90.00°, γ = 120.00°
With the nearest neighbours (Å) after each atom.
Element x y z (fractional)
La: 0.0000 0.0000 0.0000  6 Nd 3.56, 6 Tm 3.84
Nd: 0.0000 0.2807 0.6764  5 Tm 3.42-3.61, 1 La 3.56, 4 Nd 3.69-3.77
Nd: 0.0000 0.7193 0.3236  5 Tm 3.42-3.61, 1 La 3.56, 4 Nd 3.69-3.77
Nd: 0.2807 0.0000 0.6764  5 Tm 3.42-3.61, 1 La 3.56, 4 Nd 3.69-3.77
Nd: 0.2807 0.2807 0.3236  5 Tm 3.42-3.61, 1 La 3.56, 4 Nd 3.69-3.77
Nd: 0.3333 0.6667 0.0000  6 Tm 3.38, 2 Nd 3.46
Nd: 0.3333 0.6667 0.5000  8 Nd 3.46-3.77, 6 Tm 3.82
Nd: 0.6667 0.3333 0.0000  6 Tm 3.38, 2 Nd 3.46
Nd: 0.6667 0.3333 0.5000  8 Nd 3.46-3.77, 6 Tm 3.82
Nd: 0.7193 0.0000 0.3236  5 Tm 3.42-3.61, 1 La 3.56, 4 Nd 3.69-3.77
Nd: 0.7193 0.7193 0.6764  5 Tm 3.42-3.61, 1 La 3.56, 4 Nd 3.69-3.77
Tm: 0.0000 0.3676 0.1833  7 Nd 3.38-3.61, 1 Tm 3.64
Tm: 0.0000 0.6324 0.8167  7 Nd 3.38-3.61, 1 Tm 3.64
Tm: 0.3676 0.0000 0.1833  7 Nd 3.38-3.61, 1 Tm 3.64
Tm: 0.3676 0.3676 0.8167  7 Nd 3.38-3.61, 1 Tm 3.64
Tm: 0.6324 0.0000 0.8167  7 Nd 3.38-3.61, 1 Tm 3.64
Tm: 0.6324 0.6324 0.1833  7 Nd 3.38-3.61, 1 Tm 3.64



The following is a PBE calculation of an optimized crystal structure of LaNd7Tm2, from Alexandria.

- Density of states at the Fermi level: 16.56 states/eV per cell
- Energy of formation from the pure elements: 21 meV/atom
- Relative energy among the computed polymorphs: 0 meV per atom
- Uncorrected energy: -4.70 eV per atom

a = 6.3049 Å, b = 6.3436 Å, c = 9.6574 Å
α = 109.11°, β = 102.53°, γ = 99.58°
With the nearest neighbours (Å) after each atom.
Element x y z (fractional)
La: 0.0000 0.0000 0.0000  10 Nd 3.64-3.69, 2 Tm 3.68
Nd: 0.0019 0.6019 0.2055  3 Tm 3.57-3.65, 7 Nd 3.62-3.74, 2 La 3.68-3.69
Nd: 0.4962 0.6010 0.6968  8 Nd 3.61-3.69, 3 Tm 3.61-3.65, 1 La 3.67
Nd: 0.4972 0.2001 0.8980  9 Nd 3.64-3.70, 2 La 3.64-3.67, 1 Tm 3.65
Nd: 0.5000 0.0000 0.5000  8 Nd 3.62-3.67, 4 Tm 3.63-3.64
Nd: 0.5028 0.7999 0.1020  9 Nd 3.64-3.70, 2 La 3.64-3.67, 1 Tm 3.65
Nd: 0.5038 0.3990 0.3032  8 Nd 3.61-3.69, 3 Tm 3.61-3.65, 1 La 3.67
Nd: 0.9981 0.3981 0.7945  3 Tm 3.57-3.65, 7 Nd 3.62-3.74, 2 La 3.68-3.69
Tm: 0.0013 0.2011 0.4034  9 Nd 3.57-3.65, 2 Tm 3.62-3.64, 1 La 3.68
Tm: 0.9987 0.7989 0.5966  9 Nd 3.57-3.65, 2 Tm 3.62-3.64, 1 La 3.68



The following is a PBE calculation of an optimized crystal structure of La3Nd4Tm3, from Alexandria.

- Density of states at the Fermi level: 12.69 states/eV per cell
- Energy of formation from the pure elements: 82 meV/atom
- Uncorrected energy: -4.64 eV per atom

a = 3.8320 Å, b = 9.5514 Å, c = 9.5514 Å
α = 90.32°, β = 90.00°, γ = 90.00°
With the nearest neighbours (Å) after each atom.
Element x y z (fractional)
La: 0.0000 0.0000 0.0000  6 Nd 3.37-3.50
La: 0.5000 0.1742 0.6621  4 Nd 3.64-3.85, 2 La 3.83, 6 Tm 3.96-4.05
La: 0.5000 0.6621 0.1742  4 Nd 3.64-3.85, 2 La 3.83, 6 Tm 3.96-4.05
Nd: 0.5000 0.0443 0.3034  4 Tm 3.34-3.43, 3 La 3.50-3.64, 1 Nd 3.51
Nd: 0.5000 0.3034 0.0443  4 Tm 3.34-3.43, 3 La 3.50-3.64, 1 Nd 3.51
Nd: 0.5000 0.5422 0.5422  6 Tm 3.32-3.43, 1 Nd 3.40, 2 La 3.70
Nd: 0.5000 0.7944 0.7944  2 La 3.37, 1 Nd 3.40, 4 Tm 3.43
Tm: 0.0000 0.3406 0.3406  6 Nd 3.32-3.43
Tm: 0.0000 0.4994 0.8373  6 Nd 3.34-3.43
Tm: 0.0000 0.8373 0.4994  6 Nd 3.34-3.43